# 1
# DyCd2Pb3

A relaxed DyCd2Pb3 crystal (PBE, Alexandria via LeMat-Bulk).

Lattice parameters (Å, degrees): 5.198 16.008 3.959 90.00 90.00 90.00
Atoms (fractional coordinates):
Dy  0.000  0.000  0.000
Dy  0.500  0.500  0.000
Cd  0.000  0.343  0.000
Cd  0.000  0.657  0.000
Cd  0.500  0.157  0.000
Cd  0.500  0.843  0.000
Pb  0.000  0.176  0.500
Pb  0.000  0.500  0.500
Pb  0.000  0.824  0.500
Pb  0.500  0.000  0.500
Pb  0.500  0.324  0.500
Pb  0.500  0.676  0.500

## Properties
ΔH_f (0 K) ... -135 meV/atom
Fermi-level density of states ... 0.5111 states/eV per atom
SG ... Cmmm (65)

***

# 2
# DyCdPb3

A relaxed DyCdPb3 crystal (PBE, Alexandria via LeMat-Bulk).

Lattice parameters (Å, degrees): 5.411 6.554 8.787 90.00 90.00 90.00
Atoms (fractional coordinates):
Dy  0.250  0.250  0.107
Dy  0.750  0.750  0.893
Cd  0.250  0.750  0.433
Cd  0.750  0.250  0.567
Pb  0.250  0.002  0.733
Pb  0.250  0.498  0.733
Pb  0.250  0.750  0.088
Pb  0.750  0.250  0.912
Pb  0.750  0.502  0.267
Pb  0.750  0.998  0.267

## Properties
ΔH_f (0 K) ... -36 meV/atom
Fermi-level density of states ... 0.5058 states/eV per atom
SG ... Pmmn (59)
ΔE to the lowest computed polymorph ... 2.78 kcal/mol of atoms

***

# 3
# Dy2CdPb

A relaxed Dy2CdPb crystal (PBE, Alexandria via LeMat-Bulk).

Lattice parameters (Å, degrees): 4.998 4.998 4.303 90.00 90.00 90.00
Atoms (fractional coordinates):
Dy  0.000  0.500  0.000
Dy  0.500  0.000  0.000
Cd  0.000  0.000  0.500
Pb  0.500  0.500  0.500

## Properties
ΔH_f (0 K) ... -391 meV/atom
Fermi-level density of states ... 0.8127 states/eV per atom
SG ... P4/mmm (123)

***

# 4
# Dy2CdPb4

A relaxed Dy2CdPb4 crystal (PBE, Alexandria via LeMat-Bulk).

Lattice parameters (Å, degrees): 16.392 3.590 7.839 90.00 115.15 90.00
Atoms (fractional coordinates):
Dy  0.224  0.000  0.281
Dy  0.276  0.500  0.719
Dy  0.724  0.500  0.281
Dy  0.776  0.000  0.719
Cd  0.000  0.000  0.000
Cd  0.500  0.500  0.000
Pb  0.082  0.000  0.450
Pb  0.132  0.500  0.889
Pb  0.368  0.000  0.111
Pb  0.418  0.500  0.550
Pb  0.582  0.500  0.450
Pb  0.632  0.000  0.889
Pb  0.868  0.500  0.111
Pb  0.918  0.000  0.550

## Properties
ΔH_f (0 K) ... -74 meV/atom
Fermi-level density of states ... 0.6400 states/eV per atom
SG ... C2/m (12)
ΔE to the lowest computed polymorph ... 4.69 kcal/mol of atoms

***

# 5
# Dy3CdPb3

A relaxed Dy3CdPb3 crystal (PBE, Alexandria via LeMat-Bulk).

Lattice parameters (Å, degrees): 9.284 9.284 6.210 90.00 90.00 120.00
Atoms (fractional coordinates):
Dy  0.044  0.369  0.250
Dy  0.326  0.956  0.250
Dy  0.369  0.326  0.750
Dy  0.631  0.674  0.250
Dy  0.674  0.044  0.750
Dy  0.956  0.631  0.750
Cd  0.333  0.667  0.750
Cd  0.667  0.333  0.250
Pb  0.035  0.332  0.750
Pb  0.298  0.965  0.750
Pb  0.332  0.298  0.250
Pb  0.668  0.702  0.750
Pb  0.702  0.035  0.250
Pb  0.965  0.668  0.250

## Properties
ΔH_f (0 K) ... -205 meV/atom
Fermi-level density of states ... 0.5737 states/eV per atom
SG ... P6_3/m (176)

***

# 6
# DyCd2Pb

A relaxed DyCd2Pb crystal (PBE, Alexandria via LeMat-Bulk).

Lattice parameters (Å, degrees): 7.507 7.507 7.507 90.00 90.00 90.00
Atoms (fractional coordinates):
Dy  0.000  0.000  0.000
Dy  0.000  0.500  0.500
Dy  0.500  0.000  0.500
Dy  0.500  0.500  0.000
Cd  0.250  0.250  0.250
Cd  0.250  0.250  0.750
Cd  0.250  0.750  0.250
Cd  0.250  0.750  0.750
Cd  0.750  0.250  0.250
Cd  0.750  0.250  0.750
Cd  0.750  0.750  0.250
Cd  0.750  0.750  0.750
Pb  0.000  0.000  0.500
Pb  0.000  0.500  0.000
Pb  0.500  0.000  0.000
Pb  0.500  0.500  0.500

## Properties
ΔH_f (0 K) ... -109 meV/atom
Fermi-level density of states ... 0.8976 states/eV per atom
SG ... Fm-3m (225)
ΔE to the lowest computed polymorph ... 4.90 kcal/mol of atoms

***

# 7
# Dy2CdPb

A relaxed Dy2CdPb crystal (PBE, Alexandria via LeMat-Bulk).

Lattice parameters (Å, degrees): 3.519 3.519 34.118 90.00 90.00 120.00
Atoms (fractional coordinates):
Dy  0.000  0.000  0.093
Dy  0.000  0.000  0.907
Dy  0.333  0.667  0.574
Dy  0.333  0.667  0.760
Dy  0.667  0.333  0.240
Dy  0.667  0.333  0.426
Cd  0.000  0.000  0.500
Cd  0.333  0.667  0.167
Cd  0.667  0.333  0.833
Pb  0.000  0.000  0.000
Pb  0.333  0.667  0.667
Pb  0.667  0.333  0.333

## Properties
ΔH_f (0 K) ... -18 meV/atom
Fermi-level density of states ... 1.1288 states/eV per atom
SG ... R-3m (166)

***

# 8
# DyCd2Pb

A relaxed DyCd2Pb crystal (PBE, Alexandria via LeMat-Bulk).

Lattice parameters (Å, degrees): 10.892 4.545 4.545 90.00 114.50 90.00
Atoms (fractional coordinates):
Dy  0.000  0.000  0.000
Dy  0.500  0.500  0.000
Cd  0.250  0.000  0.750
Cd  0.250  0.500  0.250
Cd  0.750  0.000  0.250
Cd  0.750  0.500  0.750
Pb  0.000  0.500  0.500
Pb  0.500  0.000  0.500

## Properties
ΔH_f (0 K) ... -264 meV/atom
Fermi-level density of states ... 0.4303 states/eV per atom
SG ... C2/m (12)
ΔE to the lowest computed polymorph ... 1.33 kcal/mol of atoms

***

# 9
# DyCdPb

A relaxed DyCdPb crystal (PBE, Alexandria via LeMat-Bulk).

Lattice parameters (Å, degrees): 3.639 17.728 5.082 90.00 90.00 90.00
Atoms (fractional coordinates):
Dy  0.000  0.108  0.250
Dy  0.000  0.892  0.750
Dy  0.500  0.392  0.750
Dy  0.500  0.608  0.250
Cd  0.000  0.457  0.250
Cd  0.000  0.543  0.750
Cd  0.500  0.043  0.750
Cd  0.500  0.957  0.250
Pb  0.000  0.289  0.250
Pb  0.000  0.711  0.750
Pb  0.500  0.211  0.750
Pb  0.500  0.789  0.250

## Properties
ΔH_f (0 K) ... -241 meV/atom
Fermi-level density of states ... 0.5537 states/eV per atom
SG ... Cmcm (63)

***

# 10
# DyCd4Pb

A relaxed DyCd4Pb crystal (PBE, Alexandria via LeMat-Bulk).

Lattice parameters (Å, degrees): 5.971 5.971 5.971 60.00 60.00 60.00
Atoms (fractional coordinates):
Dy  0.000  0.000  0.000
Cd  0.375  0.375  0.375
Cd  0.375  0.375  0.876
Cd  0.375  0.876  0.375
Cd  0.876  0.375  0.375
Pb  0.750  0.750  0.750

## Properties
ΔH_f (0 K) ... -107 meV/atom
Fermi-level density of states ... 0.3405 states/eV per atom
SG ... F-43m (216)
ΔE to the lowest computed polymorph ... 2.06 kcal/mol of atoms

***

# 11
# DyCd4Pb

A relaxed DyCd4Pb crystal (PBE, Alexandria via LeMat-Bulk).

Lattice parameters (Å, degrees): 9.503 9.503 5.084 90.00 90.00 139.79
Atoms (fractional coordinates):
Dy  0.123  0.877  0.750
Dy  0.877  0.123  0.250
Cd  0.035  0.454  0.750
Cd  0.192  0.278  0.750
Cd  0.278  0.192  0.250
Cd  0.454  0.035  0.250
Cd  0.546  0.965  0.750
Cd  0.722  0.808  0.750
Cd  0.808  0.722  0.250
Cd  0.965  0.546  0.250
Pb  0.381  0.619  0.250
Pb  0.619  0.381  0.750

## Properties
ΔH_f (0 K) ... -197 meV/atom
Fermi-level density of states ... 0.3056 states/eV per atom
SG ... Cmcm (63)
ΔE to the lowest computed polymorph ... 0.00 kcal/mol of atoms

***

# 12
# DyCdPb3

A relaxed DyCdPb3 crystal (PBE, Alexandria via LeMat-Bulk).

Lattice parameters (Å, degrees): 4.564 5.999 6.049 87.04 68.02 68.02
Atoms (fractional coordinates):
Dy  0.000  0.000  0.000
Cd  0.405  0.790  0.396
Pb  0.196  0.418  0.187
Pb  0.627  0.155  0.589
Pb  0.805  0.586  0.807

## Properties
ΔH_f (0 K) ... -156 meV/atom
Fermi-level density of states ... 0.4982 states/eV per atom
SG ... P1 (1)
ΔE to the lowest computed polymorph ... 0.00 kcal/mol of atoms

***

# 13
# Dy6Cd4Pb7

A relaxed Dy6Cd4Pb7 crystal (PBE, Alexandria via LeMat-Bulk).

Lattice parameters (Å, degrees): 8.674 8.674 8.674 109.47 109.47 109.47
Atoms (fractional coordinates):
Dy  0.000  0.295  0.295
Dy  0.000  0.705  0.705
Dy  0.295  0.000  0.295
Dy  0.295  0.295  0.000
Dy  0.705  0.000  0.705
Dy  0.705  0.705  0.000
Cd  0.000  0.000  0.500
Cd  0.000  0.500  0.000
Cd  0.500  0.000  0.000
Cd  0.500  0.500  0.500
Pb  0.000  0.000  0.000
Pb  0.250  0.500  0.750
Pb  0.250  0.750  0.500
Pb  0.500  0.250  0.750
Pb  0.500  0.750  0.250
Pb  0.750  0.250  0.500
Pb  0.750  0.500  0.250

## Properties
ΔH_f (0 K) ... -91 meV/atom
Fermi-level density of states ... 1.2393 states/eV per atom
SG ... Im-3m (229)

***

# 14
# DyCdPb

A relaxed DyCdPb crystal (PBE, Alexandria via LeMat-Bulk).

Lattice parameters (Å, degrees): 3.334 3.334 16.926 90.00 90.00 90.00
Atoms (fractional coordinates):
Dy  0.000  0.000  0.000
Dy  0.500  0.500  0.500
Cd  0.000  0.000  0.818
Cd  0.500  0.500  0.318
Pb  0.000  0.000  0.641
Pb  0.500  0.500  0.141

## Properties
ΔH_f (0 K) ... 77 meV/atom
Fermi-level density of states ... 0.9451 states/eV per atom
SG ... I4mm (107)

***

# 15
# Dy4CdPb5

A relaxed Dy4CdPb5 crystal (PBE, Alexandria via LeMat-Bulk).

Lattice parameters (Å, degrees): 7.568 7.568 7.568 100.26 100.26 130.08
Atoms (fractional coordinates):
Dy  0.090  0.301  0.391
Dy  0.301  0.910  0.211
Dy  0.699  0.090  0.789
Dy  0.910  0.699  0.609
Cd  0.732  0.732  0.000
Pb  0.215  0.215  0.000
Pb  0.223  0.600  0.817
Pb  0.406  0.223  0.623
Pb  0.600  0.783  0.377
Pb  0.783  0.406  0.183

## Properties
ΔH_f (0 K) ... -203 meV/atom
Fermi-level density of states ... 0.8020 states/eV per atom
SG ... I4 (79)

***

# 16
# Dy7Cd2Pb2

A relaxed Dy7Cd2Pb2 crystal (PBE, Alexandria via LeMat-Bulk).

Lattice parameters (Å, degrees): 6.742 6.742 8.336 90.00 90.00 113.24
Atoms (fractional coordinates):
Dy  0.000  0.000  0.000
Dy  0.000  0.500  0.293
Dy  0.000  0.500  0.707
Dy  0.500  0.000  0.293
Dy  0.500  0.000  0.707
Dy  0.500  0.500  0.218
Dy  0.500  0.500  0.782
Cd  0.276  0.724  0.000
Cd  0.724  0.276  0.000
Pb  0.209  0.209  0.500
Pb  0.791  0.791  0.500

## Properties
ΔH_f (0 K) ... 18 meV/atom
Fermi-level density of states ... 1.2092 states/eV per atom
SG ... Cmmm (65)

***

# 17
# Dy5CdPb4

A relaxed Dy5CdPb4 crystal (PBE, Alexandria via LeMat-Bulk).

Lattice parameters (Å, degrees): 7.612 7.612 7.612 100.00 100.00 130.73
Atoms (fractional coordinates):
Dy  0.000  0.000  0.000
Dy  0.367  0.585  0.594
Dy  0.585  0.991  0.218
Dy  0.773  0.367  0.782
Dy  0.991  0.773  0.406
Cd  0.498  0.498  0.000
Pb  0.078  0.466  0.180
Pb  0.286  0.899  0.820
Pb  0.466  0.286  0.387
Pb  0.899  0.078  0.613

## Properties
ΔH_f (0 K) ... -301 meV/atom
Fermi-level density of states ... 0.6293 states/eV per atom
SG ... I4 (79)

***

# 18
# Dy2CdPb5

A relaxed Dy2CdPb5 crystal (PBE, Alexandria via LeMat-Bulk).

Lattice parameters (Å, degrees): 6.717 13.440 4.957 90.00 90.00 90.00
Atoms (fractional coordinates):
Dy  0.226  0.132  0.000
Dy  0.274  0.632  0.000
Dy  0.726  0.368  0.000
Dy  0.774  0.868  0.000
Cd  0.000  0.500  0.500
Cd  0.500  0.000  0.500
Pb  0.000  0.000  0.500
Pb  0.022  0.745  0.500
Pb  0.225  0.384  0.000
Pb  0.275  0.884  0.000
Pb  0.478  0.245  0.500
Pb  0.500  0.500  0.500
Pb  0.522  0.755  0.500
Pb  0.725  0.116  0.000
Pb  0.775  0.616  0.000
Pb  0.978  0.255  0.500

## Properties
ΔH_f (0 K) ... -300 meV/atom
Fermi-level density of states ... 0.3375 states/eV per atom
SG ... Pbam (55)

***

# 19
# Dy2CdPb4

A relaxed Dy2CdPb4 crystal (PBE, Alexandria via LeMat-Bulk).

Lattice parameters (Å, degrees): 8.881 9.707 4.786 90.00 90.00 90.00
Atoms (fractional coordinates):
Dy  0.000  0.241  0.000
Dy  0.000  0.759  0.000
Dy  0.500  0.259  0.000
Dy  0.500  0.741  0.000
Cd  0.000  0.000  0.500
Cd  0.500  0.500  0.500
Pb  0.231  0.500  0.000
Pb  0.250  0.250  0.500
Pb  0.250  0.750  0.500
Pb  0.269  0.000  0.000
Pb  0.731  0.000  0.000
Pb  0.750  0.250  0.500
Pb  0.750  0.750  0.500
Pb  0.769  0.500  0.000

## Properties
ΔH_f (0 K) ... -277 meV/atom
Fermi-level density of states ... 0.3602 states/eV per atom
SG ... Cmmm (65)
ΔE to the lowest computed polymorph ... 0.00 kcal/mol of atoms

***

# 20
# Dy2CdPb3

A relaxed Dy2CdPb3 crystal (PBE, Alexandria via LeMat-Bulk).

Lattice parameters (Å, degrees): 8.865 8.865 5.122 90.00 90.00 70.55
Atoms (fractional coordinates):
Dy  0.001  0.754  0.750
Dy  0.246  0.999  0.750
Dy  0.754  0.001  0.250
Dy  0.999  0.246  0.250
Cd  0.175  0.825  0.250
Cd  0.825  0.175  0.750
Pb  0.144  0.384  0.750
Pb  0.384  0.144  0.250
Pb  0.396  0.604  0.750
Pb  0.604  0.396  0.250
Pb  0.616  0.856  0.750
Pb  0.856  0.616  0.250

## Properties
ΔH_f (0 K) ... -137 meV/atom
Fermi-level density of states ... 0.6501 states/eV per atom
SG ... Cmcm (63)
ΔE to the lowest computed polymorph ... 5.71 kcal/mol of atoms

***

The records above yield total magnetic moment values of 0.0, 0.0, 0.0, 0.0, 0.0, 0.0, 0.0, 0.0, 0.0, 0.0, 0.0, 0.0, 0.0, 0.3, 0.0, 0.0, 0.0, 0.0, 0.0, 0.0 μB per formula unit, respectively.